# 1
Here is MnCu2Si at its PBEsol-relaxed geometry from the Alexandria database. Energies are from SCAN.

Structure (POSCAR):
```
MnCu2Si
1.0
-0.973 -1.845 1.478
3.954 -1.384 0.875
0.259 2.801 3.261
Cu Mn Si
2 1 1
Cartesian
-0.574 0.644 3.611
-0.140 0.313 1.128
1.491 -1.615 1.177
2.107 0.709 2.068
```

Results
The formation energy without anion corrections comes out at -0.36 eV/f.u. The theoretical density is 7415 kg/m³. Its raw total energy is -59.0 eV/cell. As for the crystal system: monoclinic.

# 2
Here is MnCu3Si at its PBEsol-relaxed geometry from the Alexandria database. Energies are from SCAN.

Structure (POSCAR):
```
MnCu3Si
1.0
4.409 0.000 0.000
0.000 4.409 0.000
0.000 0.000 4.409
Si Mn Cu
1 1 3
Cartesian
2.205 2.205 2.205
0.000 0.000 0.000
0.000 2.205 0.000
0.000 0.000 2.205
2.205 0.000 0.000
```

Results
The formation energy without anion corrections comes out at 6.28 eV/f.u. The theoretical density is 5302 kg/m³. Its raw total energy is -67.6 eV/cell. As for the crystal system: cubic.

# 3
Here is MnCu2Si at its PBEsol-relaxed geometry from the Alexandria database. Energies are from SCAN.

Structure (POSCAR):
```
MnCu2Si
1.0
2.640 0.000 0.000
0.000 4.044 0.000
-1.320 -2.022 4.309
Cu Mn Si
2 1 1
Cartesian
1.320 2.022 2.275
0.000 0.000 2.035
0.000 2.022 0.000
1.320 0.000 0.000
```

Results
The formation energy without anion corrections comes out at -0.42 eV/f.u. The theoretical density is 7583 kg/m³. Its raw total energy is -59.1 eV/cell. As for the crystal system: orthorhombic.

# 4
Here is Mn2CuSi at its PBEsol-relaxed geometry from the Alexandria database. Energies are from SCAN.

Structure (POSCAR):
```
Mn2CuSi
1.0
3.529 0.000 0.000
0.000 3.615 0.000
0.000 0.000 3.615
Cu Mn Si
1 2 1
Cartesian
1.765 0.000 0.000
0.000 0.000 1.807
0.000 1.807 0.000
1.765 1.807 1.807
```

Results
The formation energy without anion corrections comes out at -1.14 eV/f.u. The theoretical density is 7257 kg/m³. Its raw total energy is -62.9 eV/cell. As for the crystal system: tetragonal.

# 5
Here is MnCu2Si at its PBEsol-relaxed geometry from the Alexandria database. Energies are from SCAN.

Structure (POSCAR):
```
MnCu2Si
1.0
-2.973 -1.315 -1.315
1.543 -0.362 -3.128
1.842 -2.672 3.184
Cu Mn Si
2 1 1
Cartesian
-0.923 -2.413 -0.176
1.335 -1.936 -1.083
-0.715 -0.838 -2.221
0.000 0.000 0.000
```

Results
The formation energy without anion corrections comes out at -0.63 eV/f.u. The theoretical density is 7445 kg/m³. Its raw total energy is -59.3 eV/cell. As for the crystal system: tetragonal.

# 6
Here is MnCu2Si at its PBEsol-relaxed geometry from the Alexandria database. Energies are from SCAN.

Structure (POSCAR):
```
MnCu2Si
1.0
-1.184 0.611 -2.207
-2.359 -0.913 -0.493
-4.395 6.314 2.600
Cu Mn Si
2 1 1
Cartesian
-3.563 -0.263 -2.678
-5.947 4.496 -0.081
-3.939 2.946 -0.082
-2.001 1.536 -0.007
```

Results
The formation energy without anion corrections comes out at 0.11 eV/f.u. The theoretical density is 7597 kg/m³. Its raw total energy is -58.6 eV/cell. As for the crystal system: trigonal.